No. 1
Sm3Ho3Th | GGA-PBE | optimized geometry

abc: 5.726 9.628 9.627
angles: 120.00 90.00 90.00
Element x y z (fractional)
Ho1 0.250 0.519 0.614
Ho2 0.750 0.614 0.095
Ho3 0.750 0.905 0.519
Ho4 0.750 0.481 0.386
Ho5 0.250 0.386 0.905
Ho6 0.250 0.095 0.481
Sm1 0.250 0.812 0.057
Sm2 0.750 0.755 0.812
Sm3 0.750 0.057 0.245
Sm4 0.250 0.943 0.755
Sm5 0.250 0.245 0.188
Sm6 0.750 0.188 0.943
Th1 0.750 0.333 0.667
Th2 0.250 0.667 0.333

Computed properties:
Space group: P6_3/m (176)
DFT formation energy: 0.033 eV per atom
Polymorph energy (0 for the lowest one): 0 meV/atom
Energy: -5.0116 eV per atom
Total moment: 0.0 μB per cell

=====

No. 2
RbZnSnAu3 | GGA-PBE | optimized geometry

abc: 7.426 6.826 8.036
angles: 56.97 90.00 90.00
Element x y z (fractional)
Au1 0.944 0.222 0.000
Au2 0.556 0.222 0.000
Au3 0.250 0.765 0.497
Au4 0.750 0.235 0.503
Au5 0.056 0.778 0.000
Au6 0.444 0.778 0.000
Rb1 0.250 0.260 0.505
Rb2 0.750 0.740 0.495
Sn1 0.750 0.492 0.104
Sn2 0.250 0.508 0.896
Zn1 0.250 0.000 0.121
Zn2 0.750 0.000 0.879

Computed properties:
Space group: P2_1/m (11)
DFT formation energy: -0.230 eV per atom
Energy: -2.9096 eV per atom
Total moment: 0.0 μB per cell

=====

No. 3
LiPt3Rh | GGA-PBE | optimized geometry

abc: 4.858 4.858 4.858
angles: 90.00 90.00 90.00
Last column: magnetic moment on the atom in μB.
Element x y z (fractional)
Rh1 0.000 0.000 0.000  0.96
Pt1 0.000 0.000 0.500  0.59
Pt2 0.000 0.500 0.000  0.33
Pt3 0.500 0.000 0.000  0.13
Li1 0.500 0.500 0.500  0.00

Computed properties:
Space group: Pm-3m (221)
DFT formation energy: 0.956 eV per atom
Polymorph energy (0 for the lowest one): 1173 meV/atom
Energy: -4.5215 eV per atom
Total moment: 2.0 μB per cell

=====

No. 4
TaZn2Ag | GGA-PBE | optimized geometry

abc: 2.787 4.018 5.852
angles: 90.00 90.00 90.00
Element x y z (fractional)
Zn1 0.500 0.500 0.249
Zn2 0.000 0.000 0.002
Ta1 0.500 0.500 0.763
Ag1 0.000 0.000 0.486

Computed properties:
Space group: Pmm2 (25)
DFT formation energy: 0.194 eV per atom
Polymorph energy (0 for the lowest one): 208 meV/atom
Energy: -4.1191 eV per atom
Total moment: 0.0 μB per cell

=====

No. 5
SiHgW | GGA-PBE | optimized geometry

abc: 5.418 5.647 5.647
angles: 146.32 146.05 49.11
Element x y z (fractional)
W1 0.705 0.701 0.004
Hg1 0.964 0.001 0.963
Si1 0.331 0.298 0.034

Computed properties:
Energy relative to the elements, uncorrected: 0.504 eV per atom
Space group: Cm (8)
Polymorph energy (0 for the lowest one): 0 meV/atom
Energy: -5.7223 eV per atom
Total moment: 0.0 μB per cell

=====

No. 6
NdDyEr2Ag4 | GGA-PBE | optimized geometry

abc: 5.160 5.160 8.978
angles: 73.30 73.30 60.00
Element x y z (fractional)
Ag1 0.622 0.622 0.135
Ag2 0.127 0.127 0.619
Ag3 0.378 0.378 0.865
Ag4 0.873 0.873 0.381
Nd1 0.000 0.000 0.000
Er1 0.751 0.751 0.747
Er2 0.249 0.249 0.253
Dy1 0.500 0.500 0.500

Computed properties:
Space group: R-3m (166)
DFT formation energy: -0.305 eV per atom
Energy: -4.0423 eV per atom
Total moment: 0.0 μB per cell

=====

No. 7
Re3MoBr | GGA-PBE | optimized geometry

abc: 4.500 4.500 4.500
angles: 90.00 90.00 90.00
Element x y z (fractional)
Mo1 0.500 0.500 0.500
Br1 0.000 0.000 0.000
Re1 0.000 0.500 0.000
Re2 0.500 0.000 0.000
Re3 0.000 0.000 0.500

Computed properties:
Energy relative to the elements, uncorrected: 2.393 eV per atom
Space group: Pm-3m (221)
Polymorph energy (0 for the lowest one): 0 meV/atom
Energy: -7.5767 eV per atom
Total moment: 0.0 μB per cell

=====

| no. | DOS(E_F) (states/eV per atom) |
| --- | --- |
| 1 | 1.60 |
| 2 | 0.35 |
| 3 | 1.45 |
| 4 | 0.50 |
| 5 | 0.09 |
| 6 | 0.64 |
| 7 | 1.24 |